CsCrSnH2 after structural relaxation. Source: the Alexandria database, functional PBE-GGA.

Cell: 4.659 4.659 5.223 Å, 90.00 90.00 90.00°
Space group P4/mmm (No. 123)
Inequivalent atoms, fractional coordinates:
Cs1 0.000 0.000 0.000 x1
Cr1 0.500 0.500 0.500 x1
Sn1 0.500 0.500 0.000 x1
H1 0.000 0.500 0.500 x2

Summary:
The value obtained for the density of states at the Fermi level is 2.75 states/eV/cell. The calculation puts the calculated volume at 113.40 Å³/f.u. For the electronic total energy, the calculation gives -3.596 eV per atom.